No. 1
First-principles (GGA-PBE) data for a relaxed structure of Rb2ZrBr, as listed in the Alexandria database.

Computed properties:
ΔE to the lowest computed polymorph = 0 meV/atom
crystal system = tetragonal
symmetry = I-42d, No. 122
uncorrected formation energy = 0.219 eV per atom

Cell lengths 9.3994, 9.3994, 9.3994 Å; angles 94.66, 94.66, 146.89 degrees
Fractional coordinates of all 8 atoms:
Rb: 0.3750 0.0207 0.1457
Rb: 0.7707 0.6250 0.6457
Rb: 0.8750 0.2293 0.8543
Rb: 0.9793 0.1250 0.3543
Zr: 0.2500 0.7500 0.5000
Zr: 0.5000 0.5000 0.0000
Br: 0.0000 0.0000 0.0000
Br: 0.7500 0.2500 0.5000

***

No. 2
First-principles (GGA-PBE) data for a relaxed structure of RbZrBr2, as listed in the Alexandria database.

Computed properties:
ΔE to the lowest computed polymorph = 350 meV/atom
crystal system = cubic
symmetry = Fm-3m, No. 225
uncorrected formation energy = -0.364 eV per atom

Cell lengths 5.4761, 5.4761, 5.4761 Å; angles 60.00, 60.00, 60.00 degrees
Fractional coordinates of all 4 atoms:
Rb: 0.0000 0.0000 0.0000
Zr: 0.5000 0.5000 0.5000
Br: 0.2500 0.2500 0.2500
Br: 0.7500 0.7500 0.7500

***

No. 3
First-principles (GGA-PBE) data for a relaxed structure of RbZrBr2, as listed in the Alexandria database.

Computed properties:
ΔE to the lowest computed polymorph = 0 meV/atom
crystal system = trigonal
symmetry = R-3m, No. 166
uncorrected formation energy = -0.715 eV per atom

Cell lengths 10.9911, 10.9911, 10.9911 Å; angles 19.32, 19.32, 19.32 degrees
Fractional coordinates of all 4 atoms:
Rb: 0.0000 0.0000 0.0000
Zr: 0.5000 0.5000 0.5000
Br: 0.1082 0.1082 0.1082
Br: 0.8918 0.8918 0.8918

***

No. 4
First-principles (GGA-PBE) data for a relaxed structure of RbZrBr2, as listed in the Alexandria database.

Computed properties:
ΔE to the lowest computed polymorph = 169 meV/atom
crystal system = tetragonal
symmetry = I-42d, No. 122
uncorrected formation energy = -0.546 eV per atom

Cell lengths 9.2097, 9.2097, 9.2097 Å; angles 138.68, 138.68, 59.86 degrees
Fractional coordinates of all 8 atoms:
Rb: 0.0000 0.0000 0.0000
Rb: 0.7500 0.2500 0.5000
Zr: 0.2500 0.7500 0.5000
Zr: 0.5000 0.5000 0.0000
Br: 0.2215 0.6250 0.0965
Br: 0.3750 0.4715 0.5965
Br: 0.5285 0.1250 0.9035
Br: 0.8750 0.7785 0.4035

***

No. 5
First-principles (GGA-PBE) data for a relaxed structure of RbZr3Br, as listed in the Alexandria database.

Computed properties:
ΔE to the lowest computed polymorph = 0 meV/atom
crystal system = cubic
symmetry = Pm-3m, No. 221
uncorrected formation energy = 0.786 eV per atom

Cell lengths 5.2217, 5.2217, 5.2217 Å; angles 90.00, 90.00, 90.00 degrees
Fractional coordinates of all 5 atoms:
Rb: 0.0000 0.0000 0.0000
Zr: 0.0000 0.5000 0.5000
Zr: 0.5000 0.0000 0.5000
Zr: 0.5000 0.5000 0.0000
Br: 0.5000 0.5000 0.5000

***

No. 6
First-principles (GGA-PBE) data for a relaxed structure of RbZr4Br8, as listed in the Alexandria database.

Computed properties:
crystal system = monoclinic
symmetry = C2/m, No. 12
uncorrected formation energy = -1.158 eV per atom

Cell lengths 9.9487, 9.9487, 13.7499 Å; angles 133.11, 133.11, 20.88 degrees
Fractional coordinates of all 13 atoms:
Rb: 0.0000 0.0000 0.0000
Zr: 0.1764 0.1764 0.4817
Zr: 0.3075 0.3075 0.1287
Zr: 0.6925 0.6925 0.8713
Zr: 0.8236 0.8236 0.5183
Br: 0.0372 0.0372 0.7139
Br: 0.3330 0.3330 0.9562
Br: 0.3398 0.3398 0.3765
Br: 0.3676 0.3676 0.7088
Br: 0.6324 0.6324 0.2912
Br: 0.6602 0.6602 0.6235
Br: 0.6670 0.6670 0.0438
Br: 0.9628 0.9628 0.2861